# 1
Compound: PrY2Zn3
Source: Alexandria
Functional: GGA-PBE
Structure: relaxed

Calculated values
SG ... No. 123
E_form ... -193 kJ/mol of formula units

Cell: 3.6181 3.6181 10.9222 Å, 90.00 90.00 90.00°
Last column: nearest neighbours and their distance in Å.
Element x y z (fractional)
Pr1 0.0000 0.0000 0.0000  8 Zn 3.23
Y1 0.0000 0.0000 0.3372  8 Zn 3.08-3.12
Y2 0.0000 0.0000 0.6628  8 Zn 3.08-3.12
Zn1 0.5000 0.5000 0.1805  4 Y 3.08, 4 Pr 3.23
Zn2 0.5000 0.5000 0.5000  8 Y 3.12
Zn3 0.5000 0.5000 0.8195  4 Y 3.08, 4 Pr 3.23


# 2
Compound: PrYZn
Source: Alexandria
Functional: GGA-PBE
Structure: relaxed

Calculated values
SG ... No. 156
E_form ... -13 kJ/mol of formula units
Energy relative to the lowest polymorph listed for this composition ... 161 meV/atom

Cell: 5.0382 5.0382 3.8461 Å, 90.00 90.00 120.00°
Last column: nearest neighbours and their distance in Å.
Element x y z (fractional)
Pr1 0.0000 0.0000 0.0000  3 Zn 3.20, 6 Y 3.40-3.57
Y1 0.3333 0.6667 0.5398  3 Zn 3.00
Zn1 0.6667 0.3333 0.3480  3 Y 3.00, 3 Pr 3.20


# 3
Compound: Pr2Y6Zr
Source: Alexandria
Functional: GGA-PBE
Structure: relaxed

Calculated values
SG ... No. 2
E_form ... 124 kJ/mol of formula units

Cell: 7.0102 8.4773 11.3342 Å, 96.93 107.85 107.41°
Last column: nearest neighbours and their distance in Å.
Element x y z (fractional)
Pr1 0.0955 0.3139 0.4881  8 Y 3.42-3.82, 2 Pr 3.59-3.79
Pr2 0.4016 0.9740 0.7494  8 Y 3.49-3.74, 1 Pr 3.59, 1 Zr 3.81
Pr3 0.5984 0.0260 0.2506  8 Y 3.49-3.74, 1 Pr 3.59, 1 Zr 3.81
Pr4 0.9045 0.6861 0.5119  8 Y 3.42-3.82, 2 Pr 3.59-3.79
Y1 0.0979 0.9476 0.2891  5 Y 3.31-3.70, 3 Pr 3.54-3.66
Y2 0.1044 0.8391 0.9647  2 Zr 3.12-3.36, 4 Y 3.42-3.48
Y3 0.1396 0.5019 0.7848  2 Zr 3.16-3.39, 2 Y 3.37-3.42, 1 Pr 3.42
Y4 0.3805 0.2638 0.9868  2 Zr 3.21-3.32, 5 Y 3.37-3.59, 1 Pr 3.49
Y5 0.3826 0.3523 0.2877  1 Zr 3.10, 4 Y 3.30-3.47, 1 Pr 3.45
Y6 0.3963 0.7466 0.4434  4 Y 3.30-3.64, 3 Pr 3.61-3.68, 1 Zr 3.68
Y7 0.6037 0.2534 0.5566  4 Y 3.30-3.64, 3 Pr 3.61-3.68, 1 Zr 3.68
Y8 0.6174 0.6477 0.7123  1 Zr 3.10, 4 Y 3.30-3.47, 1 Pr 3.45
Y9 0.6195 0.7362 0.0132  2 Zr 3.21-3.32, 5 Y 3.37-3.59, 1 Pr 3.49
Y10 0.8604 0.4981 0.2152  2 Zr 3.16-3.39, 2 Y 3.37-3.42, 1 Pr 3.42
Y11 0.8956 0.1609 0.0353  2 Zr 3.12-3.36, 4 Y 3.42-3.48
Y12 0.9021 0.0524 0.7109  5 Y 3.31-3.70, 3 Pr 3.54-3.66
Zr1 0.2272 0.5654 0.1006  1 Zr 3.07, 7 Y 3.10-3.39
Zr2 0.7728 0.4346 0.8994  1 Zr 3.07, 7 Y 3.10-3.39


# 4
Compound: Pr2Y12Zr
Source: Alexandria
Functional: GGA-PBE
Structure: relaxed

Calculated values
SG ... No. 67
E_form ... 269 kJ/mol of formula units

Cell: 6.6873 6.6873 24.7011 Å, 90.00 90.00 116.49°
Last column: nearest neighbours and their distance in Å.
Element x y z (fractional)
Pr1 0.2500 0.7500 0.2378  2 Pr 3.52, 8 Y 3.69-3.74
Pr2 0.2500 0.7500 0.7682  2 Pr 3.52, 8 Y 3.63-3.80
Pr3 0.7500 0.2500 0.2318  2 Pr 3.52, 8 Y 3.63-3.80
Pr4 0.7500 0.2500 0.7622  2 Pr 3.52, 8 Y 3.69-3.74
Y1 0.0003 0.9997 0.4301  2 Zr 3.32-3.33, 9 Y 3.45-3.55
Y2 0.9997 0.0003 0.5699  2 Zr 3.32-3.33, 9 Y 3.45-3.55
Y3 0.9997 0.4997 0.3830  2 Zr 3.38-3.39, 8 Y 3.43-3.54
Y4 0.0003 0.5003 0.6170  2 Zr 3.38-3.39, 8 Y 3.43-3.54
Y5 0.0119 0.5119 0.0853  8 Y 3.30-3.69
Y6 0.0152 0.9848 0.9389  5 Y 3.04-3.31
Y7 0.2500 0.2500 0.1744  7 Y 3.23-3.60
Y8 0.2500 0.2500 0.3053  7 Y 3.23-3.55
Y9 0.2500 0.2500 0.6947  7 Y 3.23-3.55
Y10 0.2500 0.2500 0.8256  7 Y 3.23-3.60
Y11 0.4848 0.5152 0.9389  5 Y 3.04-3.31
Y12 0.4881 0.9881 0.0853  8 Y 3.30-3.69
Y13 0.5003 0.0003 0.3830  2 Zr 3.38-3.39, 8 Y 3.43-3.54
Y14 0.4997 0.9997 0.6170  2 Zr 3.38-3.39, 8 Y 3.43-3.54
Y15 0.4997 0.5003 0.4301  2 Zr 3.32-3.33, 9 Y 3.45-3.55
Y16 0.5003 0.4997 0.5699  2 Zr 3.32-3.33, 9 Y 3.45-3.55
Y17 0.5119 0.0119 0.9147  8 Y 3.30-3.69
Y18 0.5152 0.4848 0.0611  5 Y 3.04-3.31
Y19 0.7500 0.7500 0.1744  7 Y 3.23-3.60
Y20 0.7500 0.7500 0.3053  7 Y 3.23-3.55
Y21 0.7500 0.7500 0.6947  7 Y 3.23-3.55
Y22 0.7500 0.7500 0.8256  7 Y 3.23-3.60
Y23 0.9848 0.0152 0.0611  5 Y 3.04-3.31
Y24 0.9881 0.4881 0.9147  8 Y 3.30-3.69
Zr1 0.2500 0.7500 0.5001  8 Y 3.32-3.39, 2 Zr 3.52
Zr2 0.7500 0.2500 0.4999  8 Y 3.32-3.39, 2 Zr 3.52